(1)
First-principles (GGA-PBE) data for a relaxed structure of Pm3ErIn, as listed in Alexandria.

POSCAR file:
```
Pm3ErIn
1.0
5.4526 0.0000 0.0000
0.0000 8.4393 0.0000
0.0000 0.0000 7.0724
Pm Er In
6 2 2
direct
0.2500 0.0610 0.2219 Pm
0.2500 0.2500 0.7178 Pm
0.2500 0.4390 0.2219 Pm
0.7500 0.5610 0.7781 Pm
0.7500 0.7500 0.2822 Pm
0.7500 0.9390 0.7781 Pm
0.2500 0.7500 0.5553 Er
0.7500 0.2500 0.4447 Er
0.2500 0.7500 0.9793 In
0.7500 0.2500 0.0207 In
```

Output
Its excess energy over the best structure of this formula in the dataset is 0.086 eV per atom. As for the space group: Pmmn, No. 59. The formation energy comes out at -0.104 eV per atom.


(2)
First-principles (GGA-PBE) data for a relaxed structure of Nd4TlPb2, as listed in Alexandria.

POSCAR file:
```
Nd4TlPb2
1.0
5.9896 0.0000 0.0000
0.0000 6.7456 0.0000
-1.9167 0.0000 10.9266
Nd Tl Pb
8 2 4
direct
0.1330 0.2500 0.1253 Nd
0.2465 0.7500 0.4476 Nd
0.3262 0.0122 0.7345 Nd
0.3262 0.4878 0.7345 Nd
0.6738 0.5122 0.2655 Nd
0.6738 0.9878 0.2655 Nd
0.7535 0.2500 0.5524 Nd
0.8670 0.7500 0.8747 Nd
0.0916 0.7500 0.1700 Tl
0.9084 0.2500 0.8300 Tl
0.2188 0.2500 0.4324 Pb
0.4202 0.7500 0.9998 Pb
0.5798 0.2500 0.0002 Pb
0.7812 0.7500 0.5676 Pb
```

Output
As for the space group: P2_1/m, No. 11. The formation energy comes out at -0.361 eV per atom.


(3)
First-principles (GGA-PBE) data for a relaxed structure of AlOsO2, as listed in Alexandria.

POSCAR file:
```
AlOsO2
1.0
-2.3150 2.3150 4.3039
2.3150 -2.3150 4.3039
2.3150 2.3150 -4.3039
Al Os O
2 2 4
direct
0.0000 0.0000 0.0000 Al
0.7500 0.2500 0.5000 Al
0.2500 0.7500 0.5000 Os
0.5000 0.5000 0.0000 Os
0.0468 0.6250 0.9218 O
0.3750 0.2968 0.4218 O
0.7032 0.1250 0.0782 O
0.8750 0.9532 0.5782 O
```

Output
Its formation energy (no corrections) is -0.91 eV/atom. Its excess energy over the best structure of this formula in the dataset is 0.836 eV per atom. As for the space group: I-42d, No. 122.


(4)
First-principles (GGA-PBE) data for a relaxed structure of Ca2TmAg4, as listed in Alexandria.

POSCAR file:
```
Ca2TmAg4
1.0
-2.6383 2.6383 6.5817
2.6383 -2.6383 6.5817
2.6383 2.6383 -6.5817
Ca Tm Ag
2 1 4
direct
0.2262 0.2262 0.0000 Ca
0.7738 0.7738 0.0000 Ca
0.5000 0.5000 0.0000 Tm
0.1114 0.6114 0.5000 Ag
0.3886 0.8886 0.5000 Ag
0.6114 0.1114 0.5000 Ag
0.8886 0.3886 0.5000 Ag
```

Output
As for the space group: I4/mmm, No. 139. The formation energy comes out at -0.122 eV per atom.


Results for total DFT energy (no corrections): -44.1 -62.8 -57.1 -20.7 (in eV per cell, following the order of the records).